No. 1
The following is a PBE calculation of LaCdP2 after structural relaxation, from Alexandria via LeMat-Bulk.

a b c (Å): 4.354 4.354 6.955
angles (deg): 116.07 116.07 58.01
Fractional coordinates of all 4 atoms:
1 La 0.000 0.000 0.000
2 Cd 0.500 0.500 0.500
3 P 0.219 0.219 0.734
4 P 0.781 0.781 0.266

Summary:
Energy above the most stable polymorph in this dataset ... 62.9 meV/atom
Crystal system ... monoclinic

***

No. 2
The following is a PBE calculation of Ba3Na3Li2 after structural relaxation, from Alexandria via LeMat-Bulk.

a b c (Å): 7.374 7.374 17.085
angles (deg): 90.00 90.00 131.39
Fractional coordinates of all 16 atoms:
1 Ba 0.036 0.964 0.750
2 Ba 0.154 0.846 0.031
3 Ba 0.154 0.846 0.469
4 Ba 0.846 0.154 0.531
5 Ba 0.846 0.154 0.969
6 Ba 0.964 0.036 0.250
7 Na 0.262 0.738 0.250
8 Na 0.453 0.547 0.096
9 Na 0.453 0.547 0.404
10 Na 0.547 0.453 0.596
11 Na 0.547 0.453 0.904
12 Na 0.738 0.262 0.750
13 Li 0.312 0.688 0.663
14 Li 0.312 0.688 0.837
15 Li 0.688 0.312 0.163
16 Li 0.688 0.312 0.337

Summary:
Crystal system ... orthorhombic

***

The records above yield formation enthalpy at 0 K values of -55.4 5.2 kJ per mole of atoms, respectively.